Here is an optimized crystal structure of BaMo from Alexandria. Energies are from PBE-GGA.

Cell: 6.759 6.758 3.652 Å, 74.33 74.33 51.90°
Fractional coordinates of all 4 atoms:
Mo (0.392, 0.225, 0.191)
Mo (0.525, 0.358, 0.559)
Ba (0.105, 0.938, 0.978)
Ba (0.812, 0.645, 0.772)

Results
The formation energy is 1.57 eV/f.u. As for the relative energy among the computed polymorphs: 226 meV/atom. As for the calculated volume: 125.2 Å³ per cell. The space group is Imma. The spin magnetization is 0.0000 μB per atom.


Here is an optimized crystal structure of Ba5Mo3 from Alexandria. Energies are from PBE-GGA.

Cell: 7.457 7.457 5.510 Å, 90.00 90.00 103.00°
Fractional coordinates of all 8 atoms:
Ba (0.000, 0.500, 0.000)
Ba (0.500, 0.000, 0.000)
Ba (0.000, 0.000, 0.000)
Ba (0.706, 0.706, 0.500)
Ba (0.294, 0.294, 0.500)
Mo (0.500, 0.500, 0.000)
Mo (0.763, 0.237, 0.500)
Mo (0.237, 0.763, 0.500)

Results
The formation energy is 10.17 eV/f.u. As for the calculated volume: 298.5 Å³ per cell. The space group is Cmmm. The spin magnetization is 1.2261 μB per atom.


Here is an optimized crystal structure of BaMo2 from Alexandria. Energies are from PBE-GGA.

Cell: 5.246 5.246 10.033 Å, 73.18 73.18 36.59°
Fractional coordinates of all 6 atoms:
Mo (0.992, 0.992, 0.856)
Mo (0.341, 0.341, 0.034)
Mo (0.008, 0.008, 0.144)
Mo (0.659, 0.659, 0.966)
Ba (0.673, 0.673, 0.351)
Ba (0.327, 0.327, 0.649)

Results
The formation energy is 2.09 eV/f.u. As for the relative energy among the computed polymorphs: 97 meV/atom. As for the calculated volume: 156.8 Å³ per cell. The space group is C2/m. The spin magnetization is 0.0003 μB per atom.


Here is an optimized crystal structure of BaMo from Alexandria. Energies are from PBE-GGA.

Cell: 9.816 7.321 4.241 Å, 90.00 102.21 90.00°
Fractional coordinates of all 8 atoms:
Ba (0.227, 0.000, 0.866)
Ba (0.773, 0.500, 0.634)
Ba (0.227, 0.500, 0.366)
Ba (0.773, 0.000, 0.134)
Mo (0.500, 0.333, 0.000)
Mo (0.500, 0.667, 0.000)
Mo (0.500, 0.833, 0.500)
Mo (0.500, 0.167, 0.500)

Results
The formation energy is 1.12 eV/f.u. As for the relative energy among the computed polymorphs: 1 meV/atom. As for the calculated volume: 297.9 Å³ per cell. The space group is C2/m. The spin magnetization is 0.0000 μB per atom.


Here is an optimized crystal structure of BaMo from Alexandria. Energies are from PBE-GGA.

Cell: 6.687 6.687 8.268 Å, 84.15 84.15 36.95°
Fractional coordinates of all 6 atoms:
Ba (0.381, 0.381, 0.380)
Ba (0.609, 0.609, 0.689)
Ba (0.666, 0.666, 0.120)
Mo (0.349, 0.349, 0.910)
Mo (0.879, 0.879, 0.744)
Mo (0.949, 0.949, 0.989)

Results
The formation energy is 1.50 eV/f.u. As for the relative energy among the computed polymorphs: 189 meV/atom. As for the calculated volume: 221.0 Å³ per cell. The space group is Cm. The spin magnetization is 0.0000 μB per atom.


Here is an optimized crystal structure of BaMo2 from Alexandria. Energies are from PBE-GGA.

Cell: 5.915 5.915 8.415 Å, 87.83 87.83 32.93°
Fractional coordinates of all 6 atoms:
Mo (0.685, 0.685, 0.213)
Mo (0.454, 0.454, 0.563)
Mo (0.319, 0.319, 0.333)
Mo (0.049, 0.049, 0.381)
Ba (0.950, 0.950, 0.996)
Ba (0.710, 0.710, 0.681)

Results
The formation energy is 2.49 eV/f.u. As for the relative energy among the computed polymorphs: 230 meV/atom. As for the calculated volume: 159.9 Å³ per cell. The space group is Cm. The spin magnetization is 0.0000 μB per atom.


Here is an optimized crystal structure of Ba2Mo from Alexandria. Energies are from PBE-GGA.

Cell: 4.430 4.430 8.243 Å, 90.00 90.00 120.00°
Fractional coordinates of all 3 atoms:
Mo (0.000, 0.000, 0.000)
Ba (0.333, 0.667, 0.255)
Ba (0.667, 0.333, 0.745)

Results
The formation energy is 3.53 eV/f.u. As for the relative energy among the computed polymorphs: 626 meV/atom. As for the calculated volume: 140.1 Å³ per cell. The space group is P-3m1. The spin magnetization is 1.1128 μB per atom.


Here is an optimized crystal structure of BaMo3 from Alexandria. Energies are from PBE-GGA.

Cell: 4.330 4.330 4.330 Å, 90.00 90.00 90.00°
Fractional coordinates of all 4 atoms:
Mo (0.500, 0.000, 0.500)
Mo (0.000, 0.500, 0.500)
Mo (0.500, 0.500, 0.000)
Ba (0.000, 0.000, 0.000)

Results
The formation energy is 7.28 eV/f.u. As for the relative energy among the computed polymorphs: 1056 meV/atom. As for the calculated volume: 81.2 Å³ per cell. The space group is Pm-3m. The spin magnetization is 0.5341 μB per atom.


Here is an optimized crystal structure of BaMo3 from Alexandria. Energies are from PBE-GGA.

Cell: 2.939 2.939 10.053 Å, 90.00 90.00 110.55°
Fractional coordinates of all 4 atoms:
Mo (0.500, 0.500, 0.298)
Mo (0.500, 0.500, 0.702)
Mo (0.000, 0.000, 0.500)
Ba (0.000, 0.000, 0.000)

Results
The formation energy is 3.35 eV/f.u. As for the relative energy among the computed polymorphs: 74 meV/atom. As for the calculated volume: 81.3 Å³ per cell. The space group is Cmmm. The spin magnetization is 0.0000 μB per atom.


Here is an optimized crystal structure of BaMo3 from Alexandria. Energies are from PBE-GGA.

Cell: 5.010 5.010 5.010 Å, 90.00 90.00 90.00°
Fractional coordinates of all 4 atoms:
Mo (0.000, 0.500, 0.000)
Mo (0.500, 0.000, 0.000)
Mo (0.000, 0.000, 0.500)
Ba (0.000, 0.000, 0.000)

Results
The formation energy is 16.93 eV/f.u. As for the relative energy among the computed polymorphs: 3468 meV/atom. As for the calculated volume: 125.8 Å³ per cell. The space group is Pm-3m. The spin magnetization is 0.0017 μB per atom.


Here is an optimized crystal structure of BaMo from Alexandria. Energies are from PBE-GGA.

Cell: 10.258 15.247 6.408 Å, 90.00 90.00 90.00°
Fractional coordinates of all 32 atoms:
Mo (0.250, 0.679, 0.250)
Mo (0.750, 0.179, 0.250)
Mo (0.750, 0.321, 0.250)
Mo (0.000, 0.429, 0.500)
Mo (0.500, 0.429, 0.000)
Mo (0.000, 0.929, 0.000)
Mo (0.000, 0.071, 0.000)
Mo (0.500, 0.929, 0.500)
Mo (0.000, 0.571, 0.500)
Mo (0.750, 0.821, 0.750)
Mo (0.250, 0.321, 0.750)
Mo (0.500, 0.071, 0.500)
Mo (0.500, 0.571, 0.000)
Mo (0.250, 0.179, 0.750)
Mo (0.250, 0.821, 0.250)
Mo (0.750, 0.679, 0.750)
Ba (0.417, 0.250, 0.250)
Ba (0.917, 0.750, 0.250)
Ba (0.333, 0.500, 0.500)
Ba (0.667, 0.000, 0.000)
Ba (0.417, 0.750, 0.750)
Ba (0.167, 0.000, 0.500)
Ba (0.083, 0.250, 0.250)
Ba (0.167, 0.500, 0.000)
Ba (0.917, 0.250, 0.750)
Ba (0.333, 0.000, 0.000)
Ba (0.583, 0.750, 0.250)
Ba (0.667, 0.500, 0.500)
Ba (0.583, 0.250, 0.750)
Ba (0.833, 0.000, 0.500)
Ba (0.083, 0.750, 0.750)
Ba (0.833, 0.500, 0.000)

Results
The formation energy is 1.88 eV/f.u. As for the relative energy among the computed polymorphs: 381 meV/atom. As for the calculated volume: 1002.3 Å³ per cell. The space group is Fddd. The spin magnetization is 0.0000 μB per atom.


Here is an optimized crystal structure of BaMo2 from Alexandria. Energies are from PBE-GGA.

Cell: 6.066 6.066 6.066 Å, 104.44 104.44 120.08°
Fractional coordinates of all 6 atoms:
Ba (0.250, 0.250, 0.000)
Ba (0.750, 0.750, 0.000)
Mo (0.600, 0.100, 0.700)
Mo (0.100, 0.400, 0.500)
Mo (0.400, 0.900, 0.300)
Mo (0.900, 0.600, 0.500)

Results
The formation energy is 5.37 eV/f.u. As for the relative energy among the computed polymorphs: 1188 meV/atom. As for the calculated volume: 167.4 Å³ per cell. The space group is I4/mcm. The spin magnetization is 0.0000 μB per atom.


Here is an optimized crystal structure of BaMo from Alexandria. Energies are from PBE-GGA.

Cell: 9.545 9.545 9.545 Å, 90.00 90.00 90.00°
Fractional coordinates of all 16 atoms:
Mo (0.909, 0.091, 0.909)
Mo (0.591, 0.591, 0.591)
Mo (0.409, 0.409, 0.591)
Mo (0.909, 0.909, 0.091)
Mo (0.591, 0.409, 0.409)
Mo (0.091, 0.091, 0.091)
Mo (0.091, 0.909, 0.909)
Mo (0.409, 0.591, 0.409)
Ba (0.778, 0.778, 0.778)
Ba (0.722, 0.722, 0.278)
Ba (0.278, 0.722, 0.722)
Ba (0.222, 0.778, 0.222)
Ba (0.278, 0.278, 0.278)
Ba (0.778, 0.222, 0.222)
Ba (0.722, 0.278, 0.722)
Ba (0.222, 0.222, 0.778)

Results
The formation energy is 2.64 eV/f.u. As for the relative energy among the computed polymorphs: 761 meV/atom. As for the calculated volume: 869.5 Å³ per cell. The space group is I-43m. The spin magnetization is 0.0000 μB per atom.


Here is an optimized crystal structure of Ba4Mo from Alexandria. Energies are from PBE-GGA.

Cell: 6.941 6.941 6.941 Å, 109.47 109.47 109.47°
Fractional coordinates of all 5 atoms:
Ba (0.000, 0.500, 0.000)
Ba (0.500, 0.500, 0.500)
Ba (0.500, 0.000, 0.000)
Ba (0.000, 0.000, 0.500)
Mo (0.000, 0.000, 0.000)

Results
The formation energy is 4.02 eV/f.u. As for the relative energy among the computed polymorphs: 147 meV/atom. As for the calculated volume: 257.4 Å³ per cell. The space group is Im-3m. The spin magnetization is 0.6349 μB per atom.


Here is an optimized crystal structure of BaMo2 from Alexandria. Energies are from PBE-GGA.

Cell: 5.747 5.747 5.747 Å, 60.00 60.00 60.00°
Fractional coordinates of all 6 atoms:
Mo (0.125, 0.125, 0.125)
Mo (0.125, 0.625, 0.125)
Mo (0.125, 0.125, 0.625)
Mo (0.625, 0.125, 0.125)
Ba (0.750, 0.750, 0.750)
Ba (0.500, 0.500, 0.500)

Results
The formation energy is 3.03 eV/f.u. As for the relative energy among the computed polymorphs: 409 meV/atom. As for the calculated volume: 134.2 Å³ per cell. The space group is Fd-3m. The spin magnetization is 0.0000 μB per atom.


Here is an optimized crystal structure of BaMo3 from Alexandria. Energies are from PBE-GGA.

Cell: 6.317 5.490 9.912 Å, 90.00 90.00 90.00°
Fractional coordinates of all 16 atoms:
Mo (0.630, 0.324, 0.031)
Mo (0.664, 0.540, 0.250)
Mo (0.836, 0.040, 0.250)
Mo (0.630, 0.324, 0.469)
Mo (0.336, 0.460, 0.750)
Mo (0.130, 0.176, 0.969)
Mo (0.164, 0.960, 0.750)
Mo (0.370, 0.676, 0.969)
Mo (0.130, 0.176, 0.531)
Mo (0.870, 0.824, 0.469)
Mo (0.370, 0.676, 0.531)
Mo (0.870, 0.824, 0.031)
Ba (0.366, 0.977, 0.250)
Ba (0.866, 0.523, 0.750)
Ba (0.634, 0.023, 0.750)
Ba (0.134, 0.477, 0.250)

Results
The formation energy is 4.30 eV/f.u. As for the relative energy among the computed polymorphs: 312 meV/atom. As for the calculated volume: 343.8 Å³ per cell. The space group is Pnma. The spin magnetization is 0.0000 μB per atom.


Here is an optimized crystal structure of BaMo3 from Alexandria. Energies are from PBE-GGA.

Cell: 3.199 3.199 8.417 Å, 90.00 90.00 90.00°
Fractional coordinates of all 4 atoms:
Ba (0.000, 0.000, 0.000)
Mo (0.000, 0.000, 0.500)
Mo (0.500, 0.500, 0.327)
Mo (0.500, 0.500, 0.673)

Results
The formation energy is 3.06 eV/f.u. As for the relative energy among the computed polymorphs: 0 meV/atom. As for the calculated volume: 86.1 Å³ per cell. The space group is P4/mmm. The spin magnetization is 0.0002 μB per atom.


Here is an optimized crystal structure of Ba2Mo from Alexandria. Energies are from PBE-GGA.

Cell: 3.850 8.106 8.194 Å, 90.00 90.00 90.00°
Fractional coordinates of all 6 atoms:
Ba (0.500, 0.714, 0.835)
Ba (0.000, 0.214, 0.665)
Ba (0.000, 0.786, 0.335)
Ba (0.500, 0.286, 0.165)
Mo (0.000, 0.000, 0.000)
Mo (0.500, 0.500, 0.500)

Results
The formation energy is 3.41 eV/f.u. As for the relative energy among the computed polymorphs: 587 meV/atom. As for the calculated volume: 255.7 Å³ per cell. The space group is Pnnm. The spin magnetization is 0.7952 μB per atom.


Here is an optimized crystal structure of BaMo from Alexandria. Energies are from PBE-GGA.

Cell: 6.133 6.656 13.352 Å, 90.00 90.00 90.00°
Fractional coordinates of all 16 atoms:
Ba (0.605, 0.638, 0.075)
Ba (0.895, 0.362, 0.575)
Ba (0.395, 0.138, 0.425)
Ba (0.323, 0.365, 0.767)
Ba (0.105, 0.862, 0.925)
Ba (0.177, 0.635, 0.267)
Ba (0.823, 0.135, 0.233)
Ba (0.677, 0.865, 0.733)
Mo (0.337, 0.158, 0.118)
Mo (0.406, 0.670, 0.512)
Mo (0.094, 0.330, 0.012)
Mo (0.837, 0.342, 0.882)
Mo (0.663, 0.658, 0.382)
Mo (0.906, 0.830, 0.488)
Mo (0.163, 0.842, 0.618)
Mo (0.594, 0.170, 0.988)

Results
The formation energy is 1.66 eV/f.u. As for the relative energy among the computed polymorphs: 271 meV/atom. As for the calculated volume: 545.0 Å³ per cell. The space group is P2_12_12_1. The spin magnetization is 0.0000 μB per atom.


Here is an optimized crystal structure of BaMo2 from Alexandria. Energies are from PBE-GGA.

Cell: 5.131 5.131 5.659 Å, 90.00 90.00 120.00°
Fractional coordinates of all 6 atoms:
Ba (0.333, 0.667, 0.250)
Ba (0.667, 0.333, 0.750)
Mo (0.000, 0.000, 0.000)
Mo (0.333, 0.667, 0.750)
Mo (0.000, 0.000, 0.500)
Mo (0.667, 0.333, 0.250)

Results
The formation energy is 5.32 eV/f.u. As for the relative energy among the computed polymorphs: 1173 meV/atom. As for the calculated volume: 129.0 Å³ per cell. The space group is P6_3/mmc. The spin magnetization is 0.0000 μB per atom.


Here is an optimized crystal structure of BaMo2 from Alexandria. Energies are from PBE-GGA.

Cell: 3.321 3.321 7.581 Å, 90.00 90.00 120.00°
Fractional coordinates of all 3 atoms:
Mo (0.333, 0.667, 0.606)
Mo (0.667, 0.333, 0.394)
Ba (0.000, 0.000, 0.000)

Results
The formation energy is 2.92 eV/f.u. As for the relative energy among the computed polymorphs: 371 meV/atom. As for the calculated volume: 72.4 Å³ per cell. The space group is P-3m1. The spin magnetization is 0.0000 μB per atom.


Here is an optimized crystal structure of BaMo from Alexandria. Energies are from PBE-GGA.

Cell: 3.037 3.037 5.646 Å, 90.00 90.00 90.00°
Fractional coordinates of all 2 atoms:
Ba (0.500, 0.500, 0.500)
Mo (0.000, 0.000, 0.000)

Results
The formation energy is 3.02 eV/f.u. As for the relative energy among the computed polymorphs: 953 meV/atom. As for the calculated volume: 52.1 Å³ per cell. The space group is P4/mmm. The spin magnetization is 0.0000 μB per atom.


Here is an optimized crystal structure of BaMo from Alexandria. Energies are from PBE-GGA.

Cell: 5.220 5.220 5.220 Å, 117.79 117.79 93.88°
Fractional coordinates of all 4 atoms:
Mo (0.750, 0.250, 0.500)
Mo (0.500, 0.500, 0.000)
Ba (0.000, 0.000, 0.000)
Ba (0.250, 0.750, 0.500)

Results
The formation energy is 2.93 eV/f.u. As for the relative energy among the computed polymorphs: 906 meV/atom. As for the calculated volume: 103.7 Å³ per cell. The space group is I4_1/amd. The spin magnetization is 0.0000 μB per atom.


Here is an optimized crystal structure of BaMo3 from Alexandria. Energies are from PBE-GGA.

Cell: 4.145 3.102 7.501 Å, 78.74 90.00 90.00°
Fractional coordinates of all 4 atoms:
Mo (0.500, 0.220, 0.351)
Mo (0.000, 0.500, 0.500)
Mo (0.500, 0.780, 0.649)
Ba (0.000, 0.000, 0.000)

Results
The formation energy is 3.10 eV/f.u. As for the relative energy among the computed polymorphs: 11 meV/atom. As for the calculated volume: 94.6 Å³ per cell. The space group is P2/m. The spin magnetization is 0.0000 μB per atom.


Here is an optimized crystal structure of BaMo3 from Alexandria. Energies are from PBE-GGA.

Cell: 9.995 9.995 9.995 Å, 18.11 18.11 18.11°
Fractional coordinates of all 4 atoms:
Ba (0.000, 0.000, 0.000)
Mo (0.769, 0.769, 0.769)
Mo (0.500, 0.500, 0.500)
Mo (0.231, 0.231, 0.231)

Results
The formation energy is 3.88 eV/f.u. As for the relative energy among the computed polymorphs: 207 meV/atom. As for the calculated volume: 84.2 Å³ per cell. The space group is R-3m. The spin magnetization is 0.0000 μB per atom.